(1)
A relaxed structure of Sm3Al3Ni2Ge, computed with PBE.

a b c (Å): 7.375 7.375 3.882
angles (deg): 90.00 90.00 120.00
Atoms (fractional coordinates):
Al: 0.739 0.000 0.500
Al: 0.261 0.261 0.500
Al: 0.000 0.739 0.500
Ge: 0.000 0.000 0.000
Ni: 0.667 0.333 0.500
Ni: 0.333 0.667 0.500
Sm: 0.407 0.000 0.000
Sm: 0.000 0.407 0.000
Sm: 0.593 0.593 0.000

Results
As for the total magnetization: 0.0 Bohr magnetons per cell. For the volume, the calculation gives 20.32 Å³ per atom. For the total energy, the calculation gives -5.063 eV per atom. For the distance to the lowest polymorph of the same formula, the calculation gives 0 meV/atom.

---

(2)
A relaxed structure of TbGdNb2Ge2, computed with PBE.

a b c (Å): 4.040 4.040 7.921
angles (deg): 90.00 90.00 90.00
Last column: magnetic moment on the atom in μB.
Atoms (fractional coordinates):
Gd: 0.000 0.000 0.353  0.32
Ge: 0.500 0.500 0.243  -0.01
Ge: 0.000 0.000 0.756  -0.01
Nb: 0.500 0.000 0.000  0.06
Nb: 0.000 0.500 0.000  0.06
Tb: 0.500 0.500 0.648  0.33

Results
As for the total magnetization: 1.2 Bohr magnetons per cell. For the volume, the calculation gives 21.54 Å³ per atom. For the total energy, the calculation gives -7.090 eV per atom.

---

(3)
A relaxed structure of ErTmTe, computed with PBE.

a b c (Å): 5.011 5.011 5.011
angles (deg): 60.00 60.00 60.00
Atoms (fractional coordinates):
Er: 0.250 0.250 0.250
Te: 0.000 0.000 0.000
Tm: 0.750 0.750 0.750

Results
As for the total magnetization: 1.0 Bohr magnetons per cell. For the volume, the calculation gives 29.66 Å³ per atom. For the total energy, the calculation gives -4.428 eV per atom. For the distance to the lowest polymorph of the same formula, the calculation gives 0 meV/atom.